NiPCl3: optimized geometry, GGA-PBE.

Cell lengths 4.5791, 4.5791, 4.5791 Å; angles 90.00, 90.00, 90.00 degrees
Last column: nearest neighbours and their distance in Å.
Positions (direct):
Ni  0.0000  0.0000  0.0000  6 Cl 2.29
P  0.5000  0.5000  0.5000  12 Cl 3.24
Cl  0.0000  0.0000  0.5000  2 Ni 2.29
Cl  0.0000  0.5000  0.0000  2 Ni 2.29
Cl  0.5000  0.0000  0.0000  2 Ni 2.29

## Properties
Crystal system   cubic
Magnetic moment   0.35 μB/f.u.
Final energy   -15.12 eV per cell
Space-group type   Pm-3m
E_form (uncorrected)   0.3225 eV/atom